Record 1
VASP calculation (PBE) on a relaxed structure of Ta6Nb2Pt.

Cell lengths 2.747, 7.363, 8.546 Å; angles 78.78, 80.75, 79.25 degrees
Fractional coordinates of all 9 atoms:
Ta 0.385 0.677 0.552
Ta 0.615 0.323 0.448
Ta 0.052 0.663 0.232
Ta 0.226 0.657 0.892
Pt 0.000 0.000 0.000
Nb 0.337 0.010 0.316
Ta 0.948 0.337 0.768
Ta 0.774 0.343 0.108
Nb 0.663 0.990 0.684

Calculated values
symmetry: C2/m, No. 12
ΔH_f (0 K): 0.093 eV/atom
energy above the most stable polymorph in this dataset: 0.0091 eV per atom

Record 2
VASP calculation (PBE) on a relaxed structure of Sc2AlRh3.

Cell lengths 3.160, 3.160, 9.443 Å; angles 90.00, 90.00, 90.00 degrees
Fractional coordinates of all 6 atoms:
Al 0.500 0.500 0.500
Rh 0.000 0.000 0.652
Rh 0.000 0.000 0.348
Sc 0.500 0.500 0.826
Sc 0.500 0.500 0.174
Rh 0.000 0.000 0.000

Calculated values
symmetry: P4/mmm, No. 123
ΔH_f (0 K): -1.031 eV/atom
energy above the most stable polymorph in this dataset: 0.0148 eV per atom

Record 3
VASP calculation (PBE) on a relaxed structure of NbHS.

Cell lengths 3.005, 3.005, 4.579 Å; angles 109.15, 109.15, 90.00 degrees
Fractional coordinates of all 3 atoms:
Nb 0.636 0.636 0.272
S 0.321 0.321 0.642
H 0.043 0.043 0.086

Calculated values
symmetry: I4mm, No. 107

Record 4
VASP calculation (PBE) on a relaxed structure of Nd4Dy4Y5.

Cell lengths 5.083, 9.519, 9.519 Å; angles 85.91, 74.52, 74.52 degrees
Fractional coordinates of all 13 atoms:
Y 0.539 0.770 0.151
Y 0.309 0.151 0.230
Y 0.461 0.230 0.849
Dy 0.770 0.384 0.076
Nd 0.383 0.695 0.539
Nd 0.617 0.305 0.461
Y 0.691 0.849 0.770
Dy 0.846 0.924 0.384
Dy 0.154 0.076 0.616
Y 0.000 0.000 0.000
Dy 0.230 0.616 0.924
Nd 0.922 0.461 0.695
Nd 0.078 0.539 0.305

Calculated values
symmetry: I4/m, No. 87
ΔH_f (0 K): 0.018 eV/atom

Record 5
VASP calculation (PBE) on a relaxed structure of NdInPdRu.

Cell lengths 4.829, 4.829, 4.829 Å; angles 60.00, 60.00, 60.00 degrees
Fractional coordinates of all 4 atoms:
Nd 0.500 0.500 0.500
Pd 0.250 0.250 0.250
Ru 0.750 0.750 0.750
In 0.000 0.000 0.000

Calculated values
symmetry: F-43m, No. 216
ΔH_f (0 K): -0.365 eV/atom

Record 6
VASP calculation (PBE) on a relaxed structure of CoNCl3.

Cell lengths 4.415, 4.415, 4.415 Å; angles 90.00, 90.00, 90.00 degrees
Site moments in Bohr magnetons follow the coordinates.
Fractional coordinates of all 5 atoms:
Co 0.500 0.500 0.500  2.30
N 0.000 0.000 0.000  -0.10
Cl 0.500 0.000 0.000  0.01
Cl 0.000 0.500 0.000  0.04
Cl 0.000 0.000 0.500  0.03

Calculated values
symmetry: Pm-3m, No. 221
ΔE_f (raw): 1217 meV/atom
energy above the most stable polymorph in this dataset: 1.1262 eV per atom

Record 7
VASP calculation (PBE) on a relaxed structure of DyHf2Mo.

Cell lengths 3.396, 3.396, 7.830 Å; angles 90.00, 90.00, 90.00 degrees
Fractional coordinates of all 4 atoms:
Mo 0.500 0.500 0.000
Hf 0.000 0.000 0.805
Hf 0.000 0.000 0.195
Dy 0.500 0.500 0.500

Calculated values
symmetry: P4/mmm, No. 123
ΔH_f (0 K): 0.047 eV/atom
energy above the most stable polymorph in this dataset: 0.0000 eV per atom

Record 8
VASP calculation (PBE) on a relaxed structure of GaHgN2.

Cell lengths 6.153, 6.153, 6.153 Å; angles 34.42, 34.42, 34.42 degrees
Fractional coordinates of all 4 atoms:
N 0.103 0.103 0.103
Hg 0.500 0.500 0.500
N 0.897 0.897 0.897
Ga 0.000 0.000 0.000

Calculated values
symmetry: R-3m, No. 166
ΔE_f (raw): 1114 meV/atom
energy above the most stable polymorph in this dataset: 0.5113 eV per atom

Record 9
VASP calculation (PBE) on a relaxed structure of TbBe2F8.

Cell lengths 5.876, 5.473, 5.473 Å; angles 48.74, 69.48, 69.48 degrees
Site moments in Bohr magnetons follow the coordinates.
Fractional coordinates of all 11 atoms:
F 0.604 0.164 0.164  0.00
F 0.172 0.374 0.374  0.00
Be 0.676 0.791 0.791  0.00
Tb 0.000 0.000 0.000  -0.01
F 0.773 0.115 0.636  0.24
F 0.396 0.836 0.836  0.00
Be 0.324 0.209 0.209  0.00
F 0.773 0.636 0.115  0.24
F 0.227 0.885 0.364  0.24
F 0.828 0.626 0.626  0.00
F 0.227 0.364 0.885  0.24

Calculated values
symmetry: C2/m, No. 12
ΔE_f (raw): -3119 meV/atom

Record 10
VASP calculation (PBE) on a relaxed structure of Li7Zn5Ag.

Cell lengths 5.075, 7.017, 7.017 Å; angles 81.77, 68.80, 68.80 degrees
Fractional coordinates of all 13 atoms:
Zn 0.465 0.028 0.538
Zn 0.970 0.538 0.028
Zn 0.465 0.538 0.028
Li 0.965 0.321 0.749
Ag 0.102 0.898 0.898
Li 0.432 0.568 0.568
Li 0.470 0.882 0.178
Li 0.802 0.198 0.198
Zn 0.750 0.750 0.750
Zn 0.970 0.028 0.538
Li 0.470 0.178 0.882
Li 0.965 0.749 0.321
Li 0.175 0.325 0.325

Calculated values
symmetry: Imm2, No. 44
ΔH_f (0 K): -0.134 eV/atom
energy above the most stable polymorph in this dataset: 0.0125 eV per atom

Record 11
VASP calculation (PBE) on a relaxed structure of Tb2Al4CuAu3.

Cell lengths 4.280, 4.280, 10.575 Å; angles 90.00, 90.00, 90.00 degrees
Fractional coordinates of all 10 atoms:
Al 0.000 0.000 0.000
Au 0.000 0.000 0.500
Al 0.500 0.000 0.628
Au 0.500 0.000 0.863
Tb 0.000 0.500 0.744
Tb 0.500 0.000 0.256
Au 0.000 0.500 0.137
Al 0.500 0.500 0.000
Cu 0.500 0.500 0.500
Al 0.000 0.500 0.372

Calculated values
symmetry: P-4m2, No. 115
ΔH_f (0 K): -0.653 eV/atom

Record 12
VASP calculation (PBE) on a relaxed structure of PtSe4Cl.

Cell lengths 5.593, 5.593, 5.593 Å; angles 60.00, 60.00, 60.00 degrees
Fractional coordinates of all 6 atoms:
Se 0.374 0.374 0.879
Se 0.374 0.374 0.374
Pt 0.000 0.000 0.000
Se 0.879 0.374 0.374
Se 0.374 0.879 0.374
Cl 0.750 0.750 0.750

Calculated values
symmetry: F-43m, No. 216
ΔE_f (raw): 774 meV/atom

The records above give, respectively, DFT total energy values of -0.3939 -0.2734 -0.2264 -0.1966 -0.2153 -0.1094 -0.3230 -0.1426 -0.2050 -0.0689 -0.1642 -0.1052 Ha/atom.
The records above give, respectively, volume values of 165.2 94.3 36.6 427.7 79.6 86.0 90.3 66.4 122.1 217.2 193.7 123.7 Å³ per cell.